# 1
DFT (PBE-GGA) results for a relaxed Rb2PaI5F crystal.

abc: 8.323 8.323 8.323
angles: 116.44 116.44 96.28
Fractional positions:
Rb: 0.000 0.500 0.500
Rb: 0.500 0.000 0.500
Pa: 0.253 0.253 0.000
I: 0.496 0.496 0.496
I: 0.496 0.999 0.000
I: 0.982 0.982 0.000
I: 0.999 0.496 0.000
I: 0.999 0.999 0.504
F: 0.440 0.440 0.000

Uncorrected formation energy ... -14.33 eV/f.u.
Calculated volume ... 47.42 Å³ per atom
DFT total energy ... -3.93 eV/atom
Mass density ... 4.107 g/cm3

=====

# 2
DFT (PBE-GGA) results for a relaxed SrPaI2F6 crystal.

abc: 6.760 6.760 6.760
angles: 60.00 60.00 60.00
Fractional positions:
Sr: 0.000 0.000 0.000
Pa: 0.500 0.500 0.500
I: 0.250 0.250 0.250
I: 0.750 0.750 0.750
F: 0.276 0.276 0.724
F: 0.276 0.724 0.276
F: 0.276 0.724 0.724
F: 0.724 0.276 0.276
F: 0.724 0.276 0.724
F: 0.724 0.724 0.276

Uncorrected formation energy ... -29.66 eV/f.u.
Calculated volume ... 21.85 Å³ per atom
DFT total energy ... -5.52 eV/atom
Mass density ... 5.218 g/cm3

=====

# 3
DFT (PBE-GGA) results for a relaxed PaTl2I4F2 crystal.

abc: 7.774 7.774 6.206
angles: 90.91 90.91 67.36
Fractional positions:
Pa: 0.000 0.000 0.000
Tl: 0.342 0.342 0.224
Tl: 0.658 0.658 0.776
I: 0.133 0.616 0.758
I: 0.384 0.867 0.242
I: 0.616 0.133 0.758
I: 0.867 0.384 0.242
F: 0.112 0.112 0.767
F: 0.888 0.888 0.233

Uncorrected formation energy ... -14.14 eV/f.u.
Calculated volume ... 38.46 Å³ per atom
DFT total energy ... -4.26 eV/atom
Mass density ... 5.687 g/cm3

=====

# 4
DFT (PBE-GGA) results for a relaxed PaTlI2F6 crystal.

abc: 7.199 7.199 7.199
angles: 119.88 119.88 90.13
Fractional positions:
Pa: 0.000 0.000 0.000
Tl: 0.500 0.500 0.000
I: 0.250 0.750 0.500
I: 0.750 0.250 0.500
F: 0.207 0.207 0.415
F: 0.208 0.208 0.000
F: 0.208 0.792 0.000
F: 0.792 0.208 0.000
F: 0.792 0.792 0.000
F: 0.793 0.793 0.585

Uncorrected formation energy ... -24.37 eV/f.u.
Calculated volume ... 26.45 Å³ per atom
DFT total energy ... -5.06 eV/atom
Mass density ... 5.043 g/cm3

=====

# 5
DFT (PBE-GGA) results for a relaxed PaTl2IF8 crystal.

abc: 7.802 7.802 7.802
angles: 133.11 133.11 68.48
Fractional positions:
Pa: 0.000 0.000 0.000
Tl: 0.500 0.500 0.000
Tl: 0.750 0.250 0.500
I: 0.250 0.750 0.500
F: 0.107 0.108 0.415
F: 0.107 0.692 0.999
F: 0.308 0.307 0.415
F: 0.308 0.893 0.001
F: 0.693 0.108 0.001
F: 0.693 0.692 0.585
F: 0.892 0.307 0.999
F: 0.892 0.893 0.585

Uncorrected formation energy ... -30.32 eV/f.u.
Calculated volume ... 20.72 Å³ per atom
DFT total energy ... -5.09 eV/atom
Mass density ... 6.136 g/cm3

=====

# 6
DFT (PBE-GGA) results for a relaxed PbIF6 crystal.

abc: 4.909 4.909 5.794
angles: 94.38 94.38 104.45
Fractional positions:
Pb: 0.000 0.000 0.000
I: 0.500 0.500 0.500
F: 0.170 0.494 0.217
F: 0.211 0.211 0.643
F: 0.494 0.170 0.217
F: 0.506 0.830 0.783
F: 0.789 0.789 0.357
F: 0.830 0.506 0.783

Uncorrected formation energy ... -13.20 eV/f.u.
Calculated volume ... 16.77 Å³ per atom
DFT total energy ... -3.71 eV/atom
Mass density ... 5.546 g/cm3

=====

# 7
DFT (PBE-GGA) results for a relaxed Pb2IF crystal.

abc: 5.423 5.423 5.423
angles: 60.00 60.00 60.00
Fractional positions:
Pb: 0.250 0.250 0.250
Pb: 0.750 0.750 0.750
I: 0.000 0.000 0.000
F: 0.500 0.500 0.500

Uncorrected formation energy ... -1.96 eV/f.u.
Calculated volume ... 28.19 Å³ per atom
DFT total energy ... -3.20 eV/atom
Mass density ... 8.251 g/cm3

=====

# 8
DFT (PBE-GGA) results for a relaxed PbIF2 crystal.

abc: 4.834 4.834 4.834
angles: 60.00 60.00 60.00
Fractional positions:
Pb: 0.000 0.000 0.000
I: 0.500 0.500 0.500
F: 0.250 0.250 0.250
F: 0.750 0.750 0.750

Uncorrected formation energy ... -4.46 eV/f.u.
Calculated volume ... 19.97 Å³ per atom
DFT total energy ... -3.37 eV/atom
Mass density ... 7.735 g/cm3

=====

Q: What is the calculated volume in the eighth record?
A: 19.97 Å³ per atom